No. 1
First-principles (GGA-PBE) data for crystalline Zr2TaAl at its relaxed geometry, as listed in Alexandria via LeMat-Bulk.

Calculated values
magnetization = 0.0 μB per cell
space-group type = Pmmm
energy of formation = -0.739 eV per formula unit
final energy = -8.358 eV per atom

Structure (POSCAR):
```
Zr2TaAl
1.0
-2.857 -1.330 -0.502
0.788 -2.661 2.569
-2.618 3.826 4.764
Ta Zr Al
1 2 1
direct
0.500 0.500 0.750 Ta
0.000 0.000 0.005 Zr
0.000 0.000 0.495 Zr
0.500 0.500 0.250 Al
```

***

No. 2
First-principles (GGA-PBE) data for crystalline LiHf2TeO8 at its relaxed geometry, as listed in Alexandria via LeMat-Bulk.

Calculated values
magnetization = 0.6 μB per cell
space-group type = Cmmm
ΔE_f (raw) = -2604.7 kJ/mol of formula units
final energy = -7.635 eV per atom

Structure (POSCAR):
```
LiHf2TeO8
1.0
-4.418 1.769 -0.265
-0.424 -0.320 4.736
2.364 5.996 0.617
O Li Hf Te
8 1 2 1
direct
0.806 0.195 0.219 O
0.308 0.307 0.500 O
0.806 0.195 0.781 O
0.708 0.709 0.000 O
0.194 0.805 0.781 O
0.194 0.805 0.219 O
0.292 0.291 0.000 O
0.692 0.693 0.500 O
0.000 0.000 0.500 Li
0.500 0.500 0.737 Hf
0.500 0.500 0.263 Hf
0.000 0.000 0.000 Te
```

***

No. 3
First-principles (GGA-PBE) data for crystalline Mg2TaPt2 at its relaxed geometry, as listed in Alexandria via LeMat-Bulk.

Calculated values
magnetization = 0.0 μB per cell
space-group type = P4/mbm
energy of formation = -2.426 eV per formula unit
final energy = -5.910 eV per atom

Structure (POSCAR):
```
Mg2TaPt2
1.0
-0.205 -6.508 1.755
4.630 1.140 4.769
-2.940 0.810 2.661
Ta Pt Mg
2 4 4
direct
0.500 0.500 0.000 Ta
0.000 0.000 0.000 Ta
0.361 0.861 0.000 Pt
0.861 0.639 0.000 Pt
0.139 0.361 0.000 Pt
0.639 0.139 0.000 Pt
0.834 0.334 0.500 Mg
0.666 0.834 0.500 Mg
0.334 0.166 0.500 Mg
0.166 0.666 0.500 Mg
```

***

No. 4
First-principles (GGA-PBE) data for crystalline BaNb4 at its relaxed geometry, as listed in Alexandria via LeMat-Bulk.

Calculated values
magnetization = 0.0 μB per cell
space-group type = Pm-3m
energy of formation = 13.199 eV per formula unit
final energy = -5.801 eV per atom

Structure (POSCAR):
```
BaNb4
1.0
5.007 0.000 0.000
0.000 5.007 0.000
0.000 0.000 5.007
Nb Ba
4 1
direct
0.500 0.500 0.000 Nb
0.000 0.000 0.000 Nb
0.500 0.000 0.500 Nb
0.000 0.500 0.500 Nb
0.500 0.500 0.500 Ba
```

***

Number 4 is which compound?
BaNb4

***

The highest magnetization belongs to which entry?
LiHf2TeO8

***

What is the formula in the first record?
Zr2TaAl

***

What is the final energy in the third record?
-5.910 eV per atom